# 1
# NiHgBiIr

A relaxed structure of NiHgBiIr (PBE, OQMD).

The total energy comes out at -4.10 eV/atom.

The structure belongs to space group F-43m (No. 216); the cell edges are 6.6831, 6.6831 and 6.6831 Å and the angles 90.00°, 90.00° and 90.00°. The asymmetric unit holds Ni at (0.0000, 0.0000, 0.0000), Hg at (0.0000, 0.0000, 0.5000), Bi at (0.2500, 0.2500, 0.7500) and Ir at (0.2500, 0.2500, 0.2500).

---

# 2
# TbSnPO

A relaxed structure of TbSnPO (PBE, OQMD).

The energy above the lowest structure with this stoichiometry is 0.00 eV/f.u.

The structure belongs to space group Pmc2_1 (No. 26); the cell edges are 3.9690, 8.2258 and 5.9795 Å and the angles 90.00°, 90.00° and 90.00°. The asymmetric unit holds Tb at (0.0000, 0.1594, 0.0000), Sn at (0.5000, 0.3671, 0.5900), P at (0.0000, 0.1770, 0.4743) and O at (0.5000, 0.2441, 0.9198).

---

# 3
# GdCu2Pt3

A relaxed structure of GdCu2Pt3 (PBE, OQMD).

The energy of formation is -3.70 eV per formula unit.

The structure belongs to space group P6/mmm (No. 191); the cell edges are 5.3876, 5.3876 and 4.0999 Å and the angles 90.00°, 90.00° and 120.00°. The asymmetric unit holds Gd at (0.0000, 0.0000, 0.0000), Cu at (0.3333, 0.6667, 0.0000) and Pt at (0.0000, 0.5000, 0.5000).

---

# 4
# GdErAl4Ni2

A relaxed structure of GdErAl4Ni2 (PBE, OQMD).

The total energy comes out at -5.06 eV/atom.

The structure belongs to space group Amm2 (No. 38); the cell edges are 6.8758, 4.0563 and 10.1744 Å and the angles 90.00°, 90.00° and 90.00°. The asymmetric unit holds Gd at (0.0000, 0.0000, 0.0000), Er at (0.5000, 0.0000, 0.8772), Al at (0.1957, 0.0000, 0.2821), Al at (0.3049, 0.0000, 0.5954), Ni at (0.0000, 0.0000, 0.7228) and Ni at (0.5000, 0.0000, 0.1544).